# 1
Crystalline NaTbSe2 at its relaxed geometry. Source: Alexandria via LeMat-Bulk, functional PBE.

Lattice parameters (Å, degrees): 4.0455 4.0455 7.7838 74.94 74.94 60.00
Atoms (fractional coordinates):
Se: 0.2445 0.2445 0.2665
Se: 0.0877 0.0877 0.7369
Na: 0.6685 0.6685 0.9944
Tb: 0.4993 0.4993 0.5022

Results
- Fermi-level density of states (states/eV/atom) = 0.00
- magnetic moment (μB per formula unit) = 0.00
- theoretical density (g/cm³) = 5.4
- DFT total energy (eV per atom) = -4.822
- energy relative to the elements, uncorrected (eV per atom) = -1.592

=====

# 2
Crystalline ZrReBr2 at its relaxed geometry. Source: Alexandria via LeMat-Bulk, functional PBE.

Lattice parameters (Å, degrees): 3.2918 3.6891 6.5157 90.00 90.00 90.00
Each line ends with the local moment (μB).
Atoms (fractional coordinates):
Re: 0.5000 0.5000 0.2500  2.42
Zr: 0.5000 0.5000 0.7500  0.02
Br: 0.0000 0.0000 0.5098  0.07
Br: 0.0000 0.0000 0.9902  0.07

Results
- energy above the lowest structure with this stoichiometry (meV per atom) = 1070
- Fermi-level density of states (states/eV/atom) = 0.73
- magnetic moment (μB per formula unit) = 3.09
- theoretical density (g/cm³) = 9.2
- DFT total energy (eV per atom) = -5.249
- energy relative to the elements, uncorrected (eV per atom) = 0.837

=====

# 3
Crystalline TbErV4 at its relaxed geometry. Source: Alexandria via LeMat-Bulk, functional PBE.

Lattice parameters (Å, degrees): 5.3724 5.3724 5.3724 60.00 60.00 60.00
Atoms (fractional coordinates):
V: 0.6278 0.6278 0.1166
V: 0.6278 0.1166 0.6278
V: 0.6278 0.6278 0.6278
V: 0.1166 0.6278 0.6278
Tb: 0.2500 0.2500 0.2500
Er: 0.0000 0.0000 0.0000

Results
- Fermi-level density of states (states/eV/atom) = 2.46
- magnetic moment (μB per formula unit) = 0.00
- theoretical density (g/cm³) = 8.0
- DFT total energy (eV per atom) = -7.252
- energy of formation from the pure elements (eV per atom) = 0.359

=====

# 4
Crystalline HfRuBr3 at its relaxed geometry. Source: Alexandria via LeMat-Bulk, functional PBE.

Lattice parameters (Å, degrees): 5.2299 5.2299 5.2299 90.00 90.00 90.00
Each line ends with the local moment (μB).
Atoms (fractional coordinates):
Br: 0.0000 0.0000 0.5000  0.02
Br: 0.5000 0.0000 0.0000  0.00
Br: 0.0000 0.5000 0.0000  0.03
Ru: 0.5000 0.5000 0.5000  2.52
Hf: 0.0000 0.0000 0.0000  0.04

Results
- energy above the lowest structure with this stoichiometry (meV per atom) = 0
- Fermi-level density of states (states/eV/atom) = 2.81
- magnetic moment (μB per formula unit) = 3.09
- theoretical density (g/cm³) = 6.0
- DFT total energy (eV per atom) = -4.363
- energy relative to the elements, uncorrected (eV per atom) = 0.487

=====

# 5
Crystalline Ac2Pm3SmTe6 at its relaxed geometry. Source: Alexandria via LeMat-Bulk, functional PBE.

Lattice parameters (Å, degrees): 4.5296 9.1656 10.1753 103.14 102.86 90.00
Atoms (fractional coordinates):
Te: 0.0061 0.7542 0.0122
Te: 0.3366 0.4068 0.6732
Te: 0.9939 0.2458 0.9878
Te: 0.6634 0.5932 0.3268
Te: 0.3357 0.9293 0.6715
Te: 0.6643 0.0707 0.3285
Ac: 0.8351 0.6687 0.6702
Ac: 0.1649 0.3313 0.3298
Pm: 0.5000 0.5000 0.0000
Pm: 0.8296 0.1635 0.6592
Pm: 0.1704 0.8365 0.3408
Sm: 0.5000 0.0000 0.0000

Results
- Fermi-level density of states (states/eV/atom) = 0.56
- magnetic moment (μB per formula unit) = 0.00
- theoretical density (g/cm³) = 7.5
- DFT total energy (eV per atom) = -5.257
- energy relative to the elements, uncorrected (eV per atom) = -1.421

=====

# 6
Crystalline Li4ZnCu at its relaxed geometry. Source: Alexandria via LeMat-Bulk, functional PBE.

Lattice parameters (Å, degrees): 4.5268 5.1755 7.8149 74.57 90.00 89.98
Atoms (fractional coordinates):
Li: 0.7500 0.9857 0.9157
Li: 0.2498 0.7385 0.4212
Li: 0.2500 0.0143 0.0843
Li: 0.7502 0.2615 0.5788
Li: 0.7498 0.7663 0.5844
Li: 0.2500 0.5160 0.0793
Li: 0.7500 0.4840 0.9207
Li: 0.2502 0.2337 0.4156
Cu: 0.7501 0.1250 0.2496
Cu: 0.2499 0.8750 0.7504
Zn: 0.2501 0.3738 0.7496
Zn: 0.7499 0.6262 0.2504

Results
- energy above the lowest structure with this stoichiometry (meV per atom) = 0
- Fermi-level density of states (states/eV/atom) = 0.33
- magnetic moment (μB per formula unit) = 0.00
- theoretical density (g/cm³) = 2.9
- DFT total energy (eV per atom) = -2.243
- energy of formation from the pure elements (eV per atom) = -0.072